Below is CePrOs4 after structural relaxation, with properties calculated at the PBE-GGA level.

The structure in POSCAR format:
```
CePrOs4
1.0
-4.161 -0.033 -3.491
-3.506 -4.149 -0.007
-5.069 0.725 1.811
Os Ce Pr
4 1 1
direct
0.125 0.625 0.625
0.625 0.125 0.625
0.625 0.625 0.625
0.625 0.625 0.125
0.000 0.000 0.000
0.250 0.250 0.250
```

Results
Space group: F-43m, No. 216
Density of states at the Fermi level: 4.7 states/eV/f.u.
Formation enthalpy at 0 K: -0.81 eV per formula unit
V: 113.3 Å³/f.u.
Uncorrected energy: -56.4 eV per cell